Arrangement A

Compound: ReHgBRuS
Source: the Alexandria database
Functional: PBE
Structure: relaxed

The structure in POSCAR format:
```
ReHgBRuS
1.0
-0.8446 2.9973 0.7591
-2.4043 -1.5086 3.2817
9.4631 0.8159 7.3083
B Ru S Hg Re
2 2 2 2 2
Direct
0.0000 0.0000 0.8344 B
0.5000 0.5000 0.3344 B
0.5000 0.0000 0.7223 Ru
0.0000 0.5000 0.2223 Ru
0.5000 0.5000 0.6549 S
0.0000 0.0000 0.1549 S
0.0000 0.0000 0.4971 Hg
0.5000 0.5000 0.9971 Hg
0.0000 0.5000 0.7982 Re
0.5000 0.0000 0.2982 Re
```

Calculated values
Space group: No. 44
Total magnetic moment, μB/f.u.: 0.0

Arrangement B

Compound: ReHgBRuS
Source: the Alexandria database
Functional: PBE
Structure: relaxed

The structure in POSCAR format:
```
ReHgBRuS
1.0
-2.7919 1.2730 -1.0549
-0.7818 -3.6053 -2.2817
-2.5429 -0.6947 6.0318
B Hg Re S Ru
1 1 1 1 1
Direct
0.9063 0.0054 0.6567 B
0.8875 0.6907 0.0176 Hg
0.9059 0.4670 0.5794 Re
0.4024 0.3346 0.3110 S
0.4038 0.9026 0.4490 Ru
```

Calculated values
Space group: No. 1
Total magnetic moment, μB/f.u.: 0.0

Arrangement C

Compound: ReHgBRuS
Source: the Alexandria database
Functional: PBE
Structure: relaxed

The structure in POSCAR format:
```
ReHgBRuS
1.0
3.7029 0.0000 -0.0006
0.0000 3.9246 0.0000
-0.4186 0.0000 7.5894
Ru B Hg Re S
1 1 1 1 1
Direct
0.5878 0.5000 0.5213 Ru
0.1024 0.5000 0.6515 B
0.1471 0.5000 0.9651 Hg
0.0893 0.0000 0.5336 Re
0.5676 0.0000 0.3422 S
```

Calculated values
Space group: No. 6
Total magnetic moment, μB/f.u.: 0.0

The least stable of them is arrangement C.

Arrangement A

Compound: HgB3Rh
Source: the Alexandria database
Functional: PBE
Structure: relaxed

The structure in POSCAR format:
```
HgB3Rh
1.0
4.1794 0.0000 0.0000
0.0000 4.1794 0.0000
0.0000 0.0000 4.1794
B Hg Rh
3 1 1
Direct
0.5000 0.0000 0.0000 B
0.0000 0.0000 0.5000 B
0.0000 0.5000 0.0000 B
0.5000 0.5000 0.5000 Hg
0.0000 0.0000 0.0000 Rh
```

Calculated values
Space group: No. 221
Total magnetic moment, μB/f.u.: 0.0

Arrangement B

Compound: HgB3Rh
Source: the Alexandria database
Functional: PBE
Structure: relaxed

The structure in POSCAR format:
```
HgB3Rh
1.0
-3.3137 2.6086 -0.1914
-2.3726 -3.1278 -1.5523
-1.1010 -1.1109 3.9212
B Hg Rh
3 1 1
Direct
0.0000 0.5000 0.0000 B
0.0000 0.0000 0.5000 B
0.5000 0.0000 0.0000 B
0.0000 0.0000 0.0000 Hg
0.5000 0.5000 0.5000 Rh
```

Calculated values
Space group: No. 221
Total magnetic moment, μB/f.u.: 0.0

The least stable of them is arrangement B.